# 1
This record from the Alexandria database describes RbVZn2N after structural relaxation. The functional is PBE-GGA.

```
data_RbVZn2N
_symmetry_space_group_name_H-M 'P 4/m m m'
_symmetry_Int_Tables_number 123
_symmetry_space_group_name_Hall '-P 4 2'
_cell_length_a 4.246
_cell_length_b 4.246
_cell_length_c 5.580
_cell_angle_alpha 90.00
_cell_angle_beta 90.00
_cell_angle_gamma 90.00
loop_
_atom_site_label
_atom_site_fract_x
_atom_site_fract_y
_atom_site_fract_z
Rb1 0.000 0.000 0.000
V1 0.500 0.500 0.000
Zn1 0.000 0.500 0.500
N1 0.000 0.000 0.500
```

Values from the calculation:
As for the electronic total energy: -15.349 eV per cell. Its total moment is 4.77 μB per formula unit. The value obtained for the density of states at the Fermi level is 4.1 states/eV/cell.

# 2
This record from the Alexandria database describes AlSe7 after structural relaxation. The functional is PBE-GGA.

```
data_AlSe7
_symmetry_space_group_name_H-M 'F m -3 m'
_symmetry_Int_Tables_number 225
_symmetry_space_group_name_Hall '-F 4 2 3'
_cell_length_a 8.656
_cell_length_b 8.656
_cell_length_c 8.656
_cell_angle_alpha 90.00
_cell_angle_beta 90.00
_cell_angle_gamma 90.00
loop_
_atom_site_label
_atom_site_fract_x
_atom_site_fract_y
_atom_site_fract_z
Al1 0.000 0.000 0.000
Se1 0.000 0.000 0.500
Se2 0.000 0.250 0.250
```

Values from the calculation:
As for the electronic total energy: -94.283 eV per cell. Its total moment is 0.00 μB per formula unit. The value obtained for the density of states at the Fermi level is 29.3 states/eV/cell.

# 3
This record from the Alexandria database describes ZrCdAg2 after structural relaxation. The functional is PBE-GGA.

```
data_ZrCdAg2
_symmetry_space_group_name_H-M 'I m m 2'
_symmetry_Int_Tables_number 44
_cell_length_a 3.037
_cell_length_b 5.105
_cell_length_c 10.327
_cell_angle_alpha 90.00
_cell_angle_beta 90.00
_cell_angle_gamma 90.00
loop_
_symmetry_equiv_pos_as_xyz
'x,y,z'
'-x,-y,z'
'-x,y,z'
'x,-y,z'
'x+1/2,y+1/2,z+1/2'
'-x+1/2,-y+1/2,z+1/2'
'-x+1/2,y+1/2,z+1/2'
'x+1/2,-y+1/2,z+1/2'
loop_
_atom_site_label
_atom_site_fract_x
_atom_site_fract_y
_atom_site_fract_z
Zr1 0.000 0.000 0.000
Cd1 0.000 0.500 0.766
Ag1 0.000 0.000 0.505
Ag2 0.000 0.500 0.242
```

Values from the calculation:
Its total moment is 0.00 μB per formula unit. The formation enthalpy at 0 K is 0.048 eV per atom. The value obtained for the density of states at the Fermi level is 5.6 states/eV/cell.

# 4
This record from the Alexandria database describes CdIn2Cu9 after structural relaxation. The functional is PBE-GGA.

```
data_CdIn2Cu9
_symmetry_space_group_name_H-M 'R -3 m'
_symmetry_Int_Tables_number 166
_symmetry_space_group_name_Hall '-R 3 2"'
_cell_length_a 5.0293
_cell_length_b 5.0293
_cell_length_c 24.3886
_cell_angle_alpha 90.00
_cell_angle_beta 90.00
_cell_angle_gamma 120.00
loop_
_atom_site_label
_atom_site_fract_x
_atom_site_fract_y
_atom_site_fract_z
Cd1 0.0000 0.0000 0.0000
In1 0.0000 0.0000 0.1397
Cu1 0.0000 0.0000 0.3331
Cu2 0.0000 0.0000 0.5000
Cu3 0.0023 0.5011 0.9163
```

Values from the calculation:
Its total moment is 0.00 μB per formula unit. The formation enthalpy at 0 K is 0.038 eV per atom. The value obtained for the density of states at the Fermi level is 15.0 states/eV/cell. The polymorph energy (0 for the lowest one) is 0 meV/atom.

# 5
This record from the Alexandria database describes NaLa3Ir after structural relaxation. The functional is PBE-GGA.

```
data_NaLa3Ir
_symmetry_space_group_name_H-M 'C 1 2/c 1'
_symmetry_Int_Tables_number 15
_cell_length_a 12.948
_cell_length_b 13.911
_cell_length_c 7.435
_cell_angle_alpha 90.00
_cell_angle_beta 99.72
_cell_angle_gamma 90.00
loop_
_symmetry_equiv_pos_as_xyz
'x,y,z'
'-x,-y,-z'
'-x,y,-z+1/2'
'x,-y,z+1/2'
'x+1/2,y+1/2,z'
'-x+1/2,-y+1/2,-z'
'-x+1/2,y+1/2,-z+1/2'
'x+1/2,-y+1/2,z+1/2'
loop_
_atom_site_label
_atom_site_fract_x
_atom_site_fract_y
_atom_site_fract_z
Na1 0.104 0.169 0.142
La1 0.126 0.084 0.676
La2 0.128 0.403 0.975
La3 0.130 0.336 0.515
Ir1 0.000 0.241 0.750
Ir2 0.000 0.452 0.250
```

Values from the calculation:
Its total moment is 0.00 μB per formula unit. The formation enthalpy at 0 K is -0.207 eV per atom. The value obtained for the density of states at the Fermi level is 55.5 states/eV/cell. The polymorph energy (0 for the lowest one) is 117 meV/atom.

# 6
This record from the Alexandria database describes GaSi2Pt8 after structural relaxation. The functional is PBE-GGA.

```
data_GaSi2Pt8
_symmetry_space_group_name_H-M 'C 1 2/m 1'
_symmetry_Int_Tables_number 12
_cell_length_a 13.060
_cell_length_b 4.064
_cell_length_c 6.973
_cell_angle_alpha 90.00
_cell_angle_beta 99.03
_cell_angle_gamma 90.00
loop_
_symmetry_equiv_pos_as_xyz
'x,y,z'
'-x,-y,-z'
'-x,y,-z'
'x,-y,z'
'x+1/2,y+1/2,z'
'-x+1/2,-y+1/2,-z'
'-x+1/2,y+1/2,-z'
'x+1/2,-y+1/2,z'
loop_
_atom_site_label
_atom_site_fract_x
_atom_site_fract_y
_atom_site_fract_z
Ga1 0.000 0.000 0.000
Si1 0.247 0.000 0.743
Pt1 0.060 0.000 0.673
Pt2 0.063 0.500 0.205
Pt3 0.184 0.500 0.563
Pt4 0.193 0.000 0.068
```

Values from the calculation:
As for the electronic total energy: -135.346 eV per cell. Its total moment is 0.00 μB per formula unit. The value obtained for the density of states at the Fermi level is 8.6 states/eV/cell.

# 7
This record from the Alexandria database describes HoTmLuPu after structural relaxation. The functional is PBE-GGA.

```
data_HoTmLuPu
_symmetry_space_group_name_H-M 'F -4 3 m'
_symmetry_Int_Tables_number 216
_symmetry_space_group_name_Hall 'F -4 2 3'
_cell_length_a 7.792
_cell_length_b 7.792
_cell_length_c 7.792
_cell_angle_alpha 90.00
_cell_angle_beta 90.00
_cell_angle_gamma 90.00
loop_
_atom_site_label
_atom_site_fract_x
_atom_site_fract_y
_atom_site_fract_z
Ho1 0.000 0.000 0.000
Tm1 0.250 0.250 0.750
Lu1 0.250 0.250 0.250
Pu1 0.000 0.000 0.500
```

Values from the calculation:
Its total moment is 6.34 μB per formula unit. The formation enthalpy at 0 K is 0.170 eV per atom. The value obtained for the density of states at the Fermi level is 36.3 states/eV/cell.

# 8
This record from the Alexandria database describes Al3Ni2P after structural relaxation. The functional is PBE-GGA.

```
data_Al3Ni2P
_symmetry_space_group_name_H-M 'P 6/m m m'
_symmetry_Int_Tables_number 191
_symmetry_space_group_name_Hall '-P 6 2'
_cell_length_a 5.2329
_cell_length_b 5.2329
_cell_length_c 3.8248
_cell_angle_alpha 90.00
_cell_angle_beta 90.00
_cell_angle_gamma 120.00
loop_
_atom_site_label
_atom_site_fract_x
_atom_site_fract_y
_atom_site_fract_z
Al1 0.0000 0.5000 0.0000
Ni1 0.3333 0.6667 0.5000
P1 0.0000 0.0000 0.5000
```

Values from the calculation:
Its total moment is 0.00 μB per formula unit. The formation enthalpy at 0 K is 0.031 eV per atom. The value obtained for the density of states at the Fermi level is 1.3 states/eV/cell. The polymorph energy (0 for the lowest one) is 263 meV/atom.

# 9
This record from the Alexandria database describes RbPa4Cu3Te12 after structural relaxation. The functional is PBE-GGA.

```
data_RbPa4Cu3Te12
_symmetry_space_group_name_H-M 'I m -3'
_symmetry_Int_Tables_number 204
_symmetry_space_group_name_Hall '-I 2 2 3'
_cell_length_a 11.030
_cell_length_b 11.030
_cell_length_c 11.030
_cell_angle_alpha 90.00
_cell_angle_beta 90.00
_cell_angle_gamma 90.00
loop_
_atom_site_label
_atom_site_fract_x
_atom_site_fract_y
_atom_site_fract_z
Rb1 0.000 0.000 0.000
Pa1 0.250 0.250 0.250
Cu1 0.000 0.000 0.500
Te1 0.000 0.169 0.323
```

Values from the calculation:
As for the electronic total energy: -198.878 eV per cell. Its total moment is 0.00 μB per formula unit.

# 10
This record from the Alexandria database describes Pm2Sn4Rh3 after structural relaxation. The functional is PBE-GGA.

```
data_Pm2Sn4Rh3
_symmetry_space_group_name_H-M 'C m c e'
_symmetry_Int_Tables_number 64
_symmetry_space_group_name_Hall '-C 2ac 2'
_cell_length_a 6.129
_cell_length_b 15.717
_cell_length_c 8.008
_cell_angle_alpha 90.00
_cell_angle_beta 90.00
_cell_angle_gamma 90.00
loop_
_atom_site_label
_atom_site_fract_x
_atom_site_fract_y
_atom_site_fract_z
Pm1 0.000 0.112 0.096
Sn1 0.000 0.182 0.478
Sn2 0.250 0.059 0.750
Rh1 0.000 0.000 0.500
Rh2 0.250 0.231 0.750
```

Values from the calculation:
Its total moment is 0.00 μB per formula unit. The formation enthalpy at 0 K is -0.730 eV per atom. The value obtained for the density of states at the Fermi level is 19.7 states/eV/cell.

# 11
This record from the Alexandria database describes Tm8Te4Pt3Au after structural relaxation. The functional is PBE-GGA.

```
data_Tm8Te4Pt3Au
_symmetry_space_group_name_H-M 'R -3 m'
_symmetry_Int_Tables_number 166
_symmetry_space_group_name_Hall '-R 3 2"'
_cell_length_a 8.2059
_cell_length_b 8.2059
_cell_length_c 21.8017
_cell_angle_alpha 90.00
_cell_angle_beta 90.00
_cell_angle_gamma 120.00
loop_
_atom_site_label
_atom_site_fract_x
_atom_site_fract_y
_atom_site_fract_z
Tm1 0.0000 0.0000 0.2371
Tm2 0.0088 0.5044 0.7614
Te1 0.0000 0.0000 0.0000
Te2 0.0000 0.5000 0.0000
Pt1 0.0000 0.5000 0.5000
Au1 0.0000 0.0000 0.5000
```

Values from the calculation:
As for the electronic total energy: -266.934 eV per cell. Its total moment is 0.00 μB per formula unit. The value obtained for the density of states at the Fermi level is 31.6 states/eV/cell.

# 12
This record from the Alexandria database describes BaSiBr2 after structural relaxation. The functional is PBE-GGA.

```
data_BaSiBr2
_symmetry_space_group_name_H-M 'C 1 m 1'
_symmetry_Int_Tables_number 8
_cell_length_a 13.209
_cell_length_b 4.380
_cell_length_c 4.755
_cell_angle_alpha 90.00
_cell_angle_beta 105.09
_cell_angle_gamma 90.00
loop_
_symmetry_equiv_pos_as_xyz
'x,y,z'
'x,-y,z'
'x+1/2,y+1/2,z'
'x+1/2,-y+1/2,z'
loop_
_atom_site_label
_atom_site_fract_x
_atom_site_fract_y
_atom_site_fract_z
Ba1 0.000 0.000 0.000
Si1 0.270 0.000 0.011
Br1 0.066 0.500 0.557
Br2 0.312 0.500 0.341
```

Values from the calculation:
Its total moment is 0.00 μB per formula unit. The value obtained for the density of states at the Fermi level is 2.9 states/eV/cell. The polymorph energy (0 for the lowest one) is 75 meV/atom.